# 1
Below is a geometry-optimized K3PtF8 structure, with properties calculated at the PBE-GGA level.

Output
formation energy (no corrections): -2035 meV/atom

Unit cell a=6.695 b=6.695 c=7.836 alpha=90.00 beta=90.00 gamma=125.81
Each line ends with the local moment (μB).
Positions (direct):
F 0.717 0.724 0.681  0.05
F 0.284 0.716 0.000  0.24
F 0.664 0.336 0.500  0.03
F 0.336 0.664 0.500  0.03
F 0.724 0.717 0.319  0.05
F 0.283 0.276 0.681  0.05
F 0.276 0.283 0.319  0.05
F 0.716 0.284 0.000  0.24
K 0.500 0.500 0.000  0.00
K 0.500 0.000 0.746  0.00
K 0.000 0.500 0.254  0.00
Pt 0.500 0.500 0.500  0.33

# 2
Below is a geometry-optimized TaNi4Cl structure, with properties calculated at the PBE-GGA level.

Output
formation energy (no corrections): 221 meV/atom

Unit cell a=4.802 b=4.802 c=4.802 alpha=60.00 beta=60.00 gamma=60.00
Positions (direct):
Ta 0.750 0.750 0.750
Cl 0.000 0.000 0.000
Ni 0.872 0.376 0.376
Ni 0.376 0.376 0.872
Ni 0.376 0.872 0.376
Ni 0.376 0.376 0.376

# 3
Below is a geometry-optimized Tm8Ga3Sb2 structure, with properties calculated at the PBE-GGA level.

Output
formation energy (no corrections): -471 meV/atom

Unit cell a=4.876 b=9.890 c=8.836 alpha=124.03 beta=90.01 gamma=90.00
Positions (direct):
Tm 0.000 0.613 0.226
Tm 0.000 0.878 0.757
Tm 0.500 0.126 0.764
Tm 0.000 0.122 0.243
Tm 0.000 0.387 0.774
Tm 0.500 0.362 0.236
Tm 0.500 0.874 0.236
Tm 0.500 0.638 0.764
Sb 0.500 0.740 0.481
Sb 0.500 0.260 0.519
Ga 0.500 0.000 0.000
Ga 0.000 0.744 0.000
Ga 0.000 0.256 0.000

# 4
Below is a geometry-optimized KPmHgBi structure, with properties calculated at the PBE-GGA level.

Output
DFT formation energy: -0.355 eV/atom

Unit cell a=5.646 b=5.646 c=5.646 alpha=60.00 beta=60.00 gamma=60.00
Positions (direct):
K 0.500 0.500 0.500
Pm 0.000 0.000 0.000
Bi 0.250 0.250 0.250
Hg 0.750 0.750 0.750

# 5
Below is a geometry-optimized Nd4HgSe2 structure, with properties calculated at the PBE-GGA level.

Output
formation energy (no corrections): -1170 meV/atom

Unit cell a=4.208 b=7.176 c=14.579 alpha=90.00 beta=90.00 gamma=107.05
Positions (direct):
Hg 0.611 0.221 0.750
Hg 0.389 0.779 0.250
Nd 0.774 0.547 0.379
Nd 0.774 0.547 0.121
Nd 0.500 0.000 0.500
Nd 0.226 0.453 0.621
Nd 0.061 0.122 0.250
Nd 0.939 0.878 0.750
Nd 0.500 0.000 0.000
Nd 0.226 0.453 0.879
Se 0.863 0.726 0.562
Se 0.863 0.726 0.938
Se 0.137 0.274 0.438
Se 0.137 0.274 0.062

# 6
Below is a geometry-optimized CaNdHgIr structure, with properties calculated at the PBE-GGA level.

Output
DFT formation energy: -0.426 eV/atom

Unit cell a=5.136 b=5.136 c=5.136 alpha=60.00 beta=60.00 gamma=60.00
Positions (direct):
Hg 0.500 0.500 0.500
Ir 0.000 0.000 0.000
Nd 0.750 0.750 0.750
Ca 0.250 0.250 0.250

# 7
Below is a geometry-optimized AgSnPd structure, with properties calculated at the PBE-GGA level.

Output
DFT formation energy: -0.248 eV/atom

Unit cell a=3.568 b=3.568 c=8.902 alpha=90.01 beta=90.01 gamma=89.99
Positions (direct):
Ag 0.626 0.626 0.077
Ag 0.126 0.126 0.231
Sn 0.627 0.627 0.428
Sn 0.127 0.127 0.880
Pd 0.627 0.627 0.744
Pd 0.127 0.127 0.564

# 8
Below is a geometry-optimized Mn3GaW structure, with properties calculated at the PBE-GGA level.

Output
DFT formation energy: 1.533 eV/atom

Unit cell a=4.232 b=4.232 c=4.232 alpha=90.00 beta=90.00 gamma=90.00
Positions (direct):
Mn 0.000 0.000 0.500
Mn 0.000 0.500 0.000
Mn 0.500 0.000 0.000
Ga 0.000 0.000 0.000
W 0.500 0.500 0.500

# 9
Below is a geometry-optimized Pr2Sm8Tm3 structure, with properties calculated at the PBE-GGA level.

Output
DFT formation energy: 0.194 eV/atom

Unit cell a=5.412 b=7.755 c=11.017 alpha=107.85 beta=89.99 gamma=90.00
Positions (direct):
Sm 0.500 0.462 0.171
Sm 0.000 0.805 0.758
Sm 0.000 0.270 0.626
Sm 0.000 0.730 0.374
Sm 0.500 0.902 0.257
Sm 0.000 0.195 0.242
Sm 0.500 0.098 0.743
Sm 0.500 0.538 0.829
Tm 0.500 0.000 0.000
Tm 0.000 0.270 0.941
Tm 0.000 0.730 0.059
Pr 0.500 0.703 0.528
Pr 0.500 0.297 0.472

# 10
Below is a geometry-optimized NaInH structure, with properties calculated at the PBE-GGA level.

Output
DFT total energy: -2.356 eV per atom

Unit cell a=5.655 b=3.429 c=3.429 alpha=120.00 beta=90.00 gamma=90.00
Positions (direct):
Na 0.767 0.667 0.333
In 0.280 0.333 0.667
H 0.954 0.000 0.000

# 11
Below is a geometry-optimized NdZr2CrN4 structure, with properties calculated at the PBE-GGA level.

Output
formation energy (no corrections): -1292 meV/atom

Unit cell a=3.288 b=5.877 c=11.109 alpha=90.00 beta=90.00 gamma=106.24
Positions (direct):
N 0.573 0.145 0.250
N 0.734 0.469 0.619
N 0.266 0.531 0.381
N 0.734 0.469 0.881
N 0.000 0.000 0.000
N 0.266 0.531 0.119
N 0.000 0.000 0.500
N 0.427 0.855 0.750
Nd 0.903 0.807 0.250
Nd 0.097 0.193 0.750
Zr 0.369 0.738 0.955
Zr 0.631 0.262 0.455
Zr 0.369 0.738 0.545
Zr 0.631 0.262 0.045
Cr 0.165 0.330 0.250
Cr 0.835 0.670 0.750

# 12
Below is a geometry-optimized Zn2ReRu structure, with properties calculated at the PBE-GGA level.

Output
DFT formation energy: 0.748 eV/atom

Unit cell a=6.938 b=6.938 c=5.533 alpha=51.18 beta=51.18 gamma=90.00
Positions (direct):
Zn 0.620 0.125 0.250
Zn 0.875 0.870 0.750
Zn 0.375 0.380 0.750
Zn 0.130 0.625 0.250
Re 0.000 0.000 0.000
Re 0.750 0.250 0.500
Ru 0.250 0.750 0.500
Ru 0.500 0.500 0.000

# 13
Below is a geometry-optimized Ni2Pt structure, with properties calculated at the PBE-GGA level.

Output
DFT formation energy: -0.066 eV/atom

Unit cell a=5.874 b=5.230 c=5.230 alpha=89.26 beta=102.93 gamma=77.07
Each line ends with the local moment (μB).
Positions (direct):
Pt 0.667 0.322 0.155  0.39
Pt 0.667 0.845 0.678  0.39
Pt 0.005 0.491 0.509  0.38
Pt 0.328 0.676 0.324  0.38
Ni 0.330 0.168 0.329  0.78
Ni 0.330 0.161 0.839  0.81
Ni 0.004 0.999 0.504  0.78
Ni 0.330 0.671 0.832  0.78
Ni 0.004 0.005 0.995  0.81
Ni 0.665 0.334 0.666  0.79
Ni 0.668 0.832 0.168  0.79
Ni 0.004 0.496 0.001  0.78

# 14
Below is a geometry-optimized VCrGaRh structure, with properties calculated at the PBE-GGA level.

Output
DFT formation energy: -0.287 eV/atom

Unit cell a=4.236 b=4.236 c=4.236 alpha=60.00 beta=60.00 gamma=60.00
Each line ends with the local moment (μB).
Positions (direct):
Cr 0.500 0.500 0.500  1.60
Ga 0.250 0.250 0.250  0.00
V 0.750 0.750 0.750  -0.73
Rh 0.000 0.000 0.000  0.08

# 15
Below is a geometry-optimized TbNdPd2 structure, with properties calculated at the PBE-GGA level.

Output
DFT formation energy: -0.852 eV/atom

Unit cell a=3.838 b=4.600 c=5.703 alpha=90.00 beta=109.68 gamma=90.00
Positions (direct):
Nd 0.721 0.000 0.981
Pd 0.996 0.000 0.531
Pd 0.167 0.500 0.873
Tb 0.447 0.500 0.433

# 16
Below is a geometry-optimized Er3Tm2Sb2 structure, with properties calculated at the PBE-GGA level.

Output
formation energy (no corrections): -607 meV/atom

Unit cell a=4.214 b=6.335 c=8.337 alpha=107.22 beta=90.00 gamma=109.43
Positions (direct):
Er 0.500 0.000 0.000
Er 0.374 0.748 0.555
Er 0.626 0.252 0.445
Tm 0.872 0.744 0.223
Tm 0.128 0.256 0.777
Sb 0.824 0.648 0.810
Sb 0.176 0.352 0.190

# 17
Below is a geometry-optimized Cs2Hg2SbBr4 structure, with properties calculated at the PBE-GGA level.

Output
formation energy (no corrections): -963 meV/atom

Unit cell a=7.686 b=7.686 c=7.686 alpha=106.70 beta=110.87 gamma=110.87
Positions (direct):
Cs 0.500 0.250 0.750
Cs 0.500 0.750 0.250
Sb 0.000 0.000 0.000
Br 0.000 0.231 0.769
Br 0.463 0.231 0.231
Br 0.000 0.769 0.231
Br 0.537 0.769 0.769
Hg 0.000 0.662 0.662
Hg 0.000 0.338 0.338

# 18
Below is a geometry-optimized Ac7Ge4Ir structure, with properties calculated at the PBE-GGA level.

Output
DFT formation energy: -0.440 eV/atom

Unit cell a=5.608 b=9.769 c=8.464 alpha=76.98 beta=70.65 gamma=73.32
Positions (direct):
Ac 0.500 0.000 0.000
Ac 0.644 0.447 0.265
Ac 0.209 0.134 0.448
Ac 0.791 0.866 0.552
Ac 0.079 0.707 0.135
Ac 0.356 0.553 0.735
Ac 0.921 0.293 0.865
Ge 0.578 0.223 0.620
Ge 0.273 0.346 0.108
Ge 0.727 0.654 0.892
Ge 0.422 0.777 0.380
Ir 0.000 0.000 0.000

# 19
Below is a geometry-optimized TmIn2Hg2 structure, with properties calculated at the PBE-GGA level.

Output
DFT formation energy: -0.022 eV/atom

Unit cell a=5.082 b=5.082 c=12.365 alpha=90.00 beta=90.00 gamma=120.00
Positions (direct):
Hg 0.333 0.667 0.882
Hg 0.667 0.333 0.382
Hg 0.667 0.333 0.118
Hg 0.333 0.667 0.618
Tm 0.000 0.000 0.250
Tm 0.000 0.000 0.750
In 0.667 0.333 0.750
In 0.000 0.000 0.500
In 0.000 0.000 0.000
In 0.333 0.667 0.250

# 20
Below is a geometry-optimized Ho5Tl4In structure, with properties calculated at the PBE-GGA level.

Output
DFT formation energy: -0.352 eV/atom

Unit cell a=3.734 b=3.734 c=19.281 alpha=90.00 beta=90.00 gamma=90.00
Positions (direct):
Ho 0.500 0.500 0.299
Ho 0.500 0.500 0.701
Ho 0.500 0.500 0.902
Ho 0.500 0.500 0.098
Ho 0.500 0.500 0.500
In 0.000 0.000 0.000
Tl 0.000 0.000 0.198
Tl 0.000 0.000 0.399
Tl 0.000 0.000 0.802
Tl 0.000 0.000 0.601